[1]
{"formula": "CsCeMnSe3", "functional": "PBE-GGA", "state": "optimized geometry", "cell": [[4.354, 0.000, 0.000], [0.000, 9.755, 0.154], [0.000, -3.651, 9.574]], "species": ["Cs", "Cs", "Ce", "Ce", "Mn", "Mn", "Se", "Se", "Se", "Se", "Se", "Se"], "frac_coords": [[0.750, 0.789, 0.758], [0.250, 0.211, 0.242], [0.250, 0.673, 0.150], [0.750, 0.327, 0.850], [0.250, 0.085, 0.604], [0.750, 0.915, 0.396], [0.250, 0.810, 0.460], [0.750, 0.876, 0.143], [0.750, 0.471, 0.153], [0.750, 0.190, 0.540], [0.250, 0.529, 0.847], [0.250, 0.124, 0.857]], "magnetic_moment_mub_per_fu": 4.00}

---

[2]
{"formula": "CsCeMoN3", "functional": "PBE-GGA", "state": "optimized geometry", "cell": [[3.787, 0.000, 0.000], [-1.894, 7.705, -0.032], [0.000, -2.285, 8.121]], "species": ["Cs", "Cs", "Ce", "Ce", "Mo", "Mo", "N", "N", "N", "N", "N", "N"], "frac_coords": [[0.357, 0.714, 0.928], [0.643, 0.286, 0.072], [0.664, 0.328, 0.543], [0.336, 0.672, 0.457], [0.984, 0.969, 0.331], [0.016, 0.031, 0.669], [0.864, 0.727, 0.258], [0.814, 0.628, 0.593], [0.518, 0.036, 0.319], [0.186, 0.372, 0.407], [0.482, 0.964, 0.681], [0.136, 0.273, 0.742]], "magnetic_moment_mub_per_fu": 0.00}

---

E_form (uncorrected): -1284; -641 (meV/atom)
Theoretical density: 4.59; 5.77 (g cm⁻³)